No. 1
Entry from Alexandria via LeMat-Bulk: crystalline MnMoW2N at its relaxed geometry (GGA-PBE).

Space-group type: P4/mmm (123)
V, A^3/atom: 13.207
Density, g/cm³: 13.39
E_form (uncorrected), eV/f.u.: -0.12

a = 4.1600 Å, b = 4.1600 Å, c = 3.8157 Å
α = 90.00°, β = 90.00°, γ = 90.00°
Last column: nearest neighbours and their distance in Å.
Atoms (fractional coordinates):
N 0.0000 0.0000 0.0000  2 Mn 1.91, 4 W 2.08
W 0.5000 0.0000 0.0000  2 N 2.08
W 0.0000 0.5000 0.0000  2 N 2.08
Mn 0.0000 0.0000 0.5000  2 N 1.91
Mo 0.5000 0.5000 0.5000  8 W 2.82, 4 Mn 2.94

=====

No. 2
Entry from Alexandria via LeMat-Bulk: crystalline Mn2MoWN at its relaxed geometry (GGA-PBE).

Space-group type: P4/mmm (123)
V, A^3/atom: 11.934
Density, g/cm³: 11.23
E_form (uncorrected), eV/f.u.: -0.32

a = 3.8263 Å, b = 3.8263 Å, c = 4.0756 Å
α = 90.00°, β = 90.00°, γ = 90.00°
Last column: nearest neighbours and their distance in Å.
Atoms (fractional coordinates):
W 0.5000 0.5000 0.5000  4 Mo 2.71, 8 Mn 2.80
Mn 0.5000 0.0000 0.0000  2 N 1.91
N 0.0000 0.0000 0.0000  4 Mn 1.91, 2 Mo 2.04
Mn 0.0000 0.5000 0.0000  2 N 1.91
Mo 0.0000 0.0000 0.5000  2 N 2.04

=====

No. 3
Entry from Alexandria via LeMat-Bulk: crystalline MnZn2MoN4 at its relaxed geometry (GGA-PBE).

Space-group type: I-42m (121)
V, A^3/atom: 12.605
Density, g/cm³: 5.56
E_form (uncorrected), eV/f.u.: -1.29

a = 4.6847 Å, b = 4.6847 Å, c = 5.6642 Å
α = 114.43°, β = 114.43°, γ = 90.00°
Last column: nearest neighbours and their distance in Å.
Atoms (fractional coordinates):
N 0.3849 0.8523 0.2373  1 Mo 1.89, 2 Zn 2.05, 1 Mn 2.07
N 0.6151 0.6151 0.7629  1 Mo 1.89, 2 Zn 2.05, 1 Mn 2.07
Zn 0.2500 0.7500 0.5001  4 N 2.05
N 0.1477 0.1477 0.7629  1 Mo 1.89, 2 Zn 2.05, 1 Mn 2.07
N 0.8523 0.3849 0.2373  1 Mo 1.89, 2 Zn 2.05, 1 Mn 2.07
Mn 0.0000 0.0000 0.0001  4 N 2.07
Mo 0.5000 0.5000 0.0001  4 N 1.89
Zn 0.7500 0.2500 0.5001  4 N 2.05

=====

Question: Among the records above, which one has the highest density?
Answer: MnMoW2N